# 1
! SrTiCl3 GGA-PBEsol optimized geometry; values from VASP
! Uncorrected energy ... -4.113 eV/atom
! SG ... Pm-3m (221)
! Distance to the lowest polymorph of the same formula ... 2.50 eV per formula unit
! Raw formation energy ... -875.8 meV per atom
&SYSTEM
  ibrav = 0, nat = 5, ntyp = 3
/
ATOMIC_SPECIES
Sr 87.62 Sr.upf
Ti 47.87 Ti.upf
Cl 35.45 Cl.upf
CELL_PARAMETERS angstrom
5.499 0.000 0.000
0.000 5.499 0.000
0.000 0.000 5.499
ATOMIC_POSITIONS crystal
Sr 0.000 0.000 0.000
Ti 0.500 0.500 0.500
Cl 0.000 0.000 0.500
Cl 0.000 0.500 0.000
Cl 0.500 0.000 0.000

***

# 2
! SrTiCl3 GGA-PBEsol optimized geometry; values from VASP
! Uncorrected energy ... -4.613 eV/atom
! SG ... Pm-3m (221)
! Distance to the lowest polymorph of the same formula ... 0.00 eV per formula unit
! Raw formation energy ... -1376.1 meV per atom
&SYSTEM
  ibrav = 0, nat = 5, ntyp = 3
/
ATOMIC_SPECIES
Sr 87.62 Sr.upf
Ti 47.87 Ti.upf
Cl 35.45 Cl.upf
CELL_PARAMETERS angstrom
4.885 0.000 0.000
0.000 4.885 0.000
0.000 0.000 4.885
ATOMIC_POSITIONS crystal
Sr 0.000 0.000 0.000
Ti 0.500 0.500 0.500
Cl 0.000 0.500 0.500
Cl 0.500 0.000 0.500
Cl 0.500 0.500 0.000

***

# 3
! SrTiCl2 GGA-PBEsol optimized geometry; values from VASP
! Uncorrected energy ... -4.434 eV/atom
! SG ... I-42d (122)
! Raw formation energy ... -889.1 meV per atom
&SYSTEM
  ibrav = 0, nat = 8, ntyp = 3
/
ATOMIC_SPECIES
Sr 87.62 Sr.upf
Ti 47.87 Ti.upf
Cl 35.45 Cl.upf
CELL_PARAMETERS angstrom
-2.675 2.675 7.509
2.675 -2.675 7.509
2.675 2.675 -7.509
ATOMIC_POSITIONS crystal
Sr 0.000 0.000 0.000
Sr 0.750 0.250 0.500
Ti 0.250 0.750 0.500
Ti 0.500 0.500 0.000
Cl 0.194 0.625 0.069
Cl 0.375 0.444 0.569
Cl 0.556 0.125 0.931
Cl 0.875 0.806 0.431

***

# 4
! Sr2TlCl5 GGA-PBEsol optimized geometry; values from VASP
! Uncorrected energy ... -4.151 eV/atom
! SG ... P2_1/c (14)
! Raw formation energy ... -2107.4 meV per atom
&SYSTEM
  ibrav = 0, nat = 32, ntyp = 3
/
ATOMIC_SPECIES
Sr 87.62 Sr.upf
Tl 204.38 Tl.upf
Cl 35.45 Cl.upf
CELL_PARAMETERS angstrom
8.843 0.000 0.000
0.000 7.766 0.000
-0.027 0.000 12.538
ATOMIC_POSITIONS crystal
Sr 0.002 0.024 0.178
Sr 0.002 0.476 0.678
Sr 0.250 0.070 0.494
Sr 0.250 0.430 0.994
Sr 0.750 0.570 0.006
Sr 0.750 0.930 0.506
Sr 0.998 0.524 0.322
Sr 0.998 0.976 0.822
Tl 0.488 0.539 0.332
Tl 0.488 0.961 0.832
Tl 0.512 0.039 0.168
Tl 0.512 0.461 0.668
Cl 0.039 0.660 0.100
Cl 0.039 0.840 0.600
Cl 0.214 0.671 0.817
Cl 0.214 0.829 0.317
Cl 0.216 0.047 0.997
Cl 0.216 0.453 0.497
Cl 0.228 0.193 0.718
Cl 0.228 0.307 0.218
Cl 0.464 0.665 0.093
Cl 0.464 0.835 0.593
Cl 0.536 0.165 0.407
Cl 0.536 0.335 0.907
Cl 0.772 0.693 0.782
Cl 0.772 0.807 0.282
Cl 0.784 0.547 0.503
Cl 0.784 0.953 0.003
Cl 0.786 0.171 0.683
Cl 0.786 0.329 0.183
Cl 0.961 0.160 0.400
Cl 0.961 0.340 0.900

***

# 5
! SrTlCl2 GGA-PBEsol optimized geometry; values from VASP
! Uncorrected energy ... -3.467 eV/atom
! SG ... Pmmm (47)
! Raw formation energy ... -1345.2 meV per atom
&SYSTEM
  ibrav = 0, nat = 4, ntyp = 3
/
ATOMIC_SPECIES
Sr 87.62 Sr.upf
Tl 204.38 Tl.upf
Cl 35.45 Cl.upf
CELL_PARAMETERS angstrom
4.179 0.000 0.000
0.000 4.370 0.000
0.000 0.000 5.820
ATOMIC_POSITIONS crystal
Sr 0.000 0.000 0.000
Tl 0.500 0.000 0.500
Cl 0.000 0.500 0.500
Cl 0.500 0.500 0.000

***

# 6
! SrTlCl4 GGA-PBEsol optimized geometry; values from VASP
! Uncorrected energy ... -2.863 eV/atom
! SG ... F-43m (216)
! Raw formation energy ... -779.1 meV per atom
&SYSTEM
  ibrav = 0, nat = 6, ntyp = 3
/
ATOMIC_SPECIES
Sr 87.62 Sr.upf
Tl 204.38 Tl.upf
Cl 35.45 Cl.upf
CELL_PARAMETERS angstrom
0.000 4.236 4.236
4.236 0.000 4.236
4.236 4.236 0.000
ATOMIC_POSITIONS crystal
Sr 0.000 0.000 0.000
Tl 0.250 0.250 0.250
Cl 0.124 0.625 0.625
Cl 0.625 0.124 0.625
Cl 0.625 0.625 0.124
Cl 0.625 0.625 0.625

***

# 7
! SrTlWCl2 GGA-PBEsol optimized geometry; values from VASP
! Uncorrected energy ... -4.236 eV/atom
! SG ... P4/mmm (123)
! Raw formation energy ... 222.5 meV per atom
&SYSTEM
  ibrav = 0, nat = 5, ntyp = 4
/
ATOMIC_SPECIES
Sr 87.62 Sr.upf
Tl 204.38 Tl.upf
W 183.84 W.upf
Cl 35.45 Cl.upf
CELL_PARAMETERS angstrom
4.667 0.000 0.000
0.000 4.667 0.000
0.000 0.000 6.420
ATOMIC_POSITIONS crystal
Sr 0.000 0.000 0.000
Tl 0.500 0.500 0.000
W 0.000 0.000 0.500
Cl 0.000 0.500 0.500
Cl 0.500 0.000 0.500

***

# 8
! Sr2WCl GGA-PBEsol optimized geometry; values from VASP
! Uncorrected energy ... -4.238 eV/atom
! SG ... I-4m2 (119)
! Distance to the lowest polymorph of the same formula ... 1.49 eV per formula unit
! Raw formation energy ... 636.1 meV per atom
&SYSTEM
  ibrav = 0, nat = 4, ntyp = 3
/
ATOMIC_SPECIES
Sr 87.62 Sr.upf
W 183.84 W.upf
Cl 35.45 Cl.upf
CELL_PARAMETERS angstrom
-2.191 2.191 6.342
2.191 -2.191 6.342
2.191 2.191 -6.342
ATOMIC_POSITIONS crystal
Sr 0.000 0.000 0.000
Sr 0.750 0.250 0.500
W 0.500 0.500 0.000
Cl 0.250 0.750 0.500

***

# 9
! Sr2WCl GGA-PBEsol optimized geometry; values from VASP
! Uncorrected energy ... -4.229 eV/atom
! SG ... Fm-3m (225)
! Distance to the lowest polymorph of the same formula ... 1.53 eV per formula unit
! Raw formation energy ... 645.4 meV per atom
&SYSTEM
  ibrav = 0, nat = 4, ntyp = 3
/
ATOMIC_SPECIES
Sr 87.62 Sr.upf
W 183.84 W.upf
Cl 35.45 Cl.upf
CELL_PARAMETERS angstrom
0.000 3.860 3.860
3.860 0.000 3.860
3.860 3.860 0.000
ATOMIC_POSITIONS crystal
Sr 0.250 0.250 0.250
Sr 0.750 0.750 0.750
W 0.000 0.000 0.000
Cl 0.500 0.500 0.500

***

# 10
! SrWCl2 GGA-PBEsol optimized geometry; values from VASP
! Uncorrected energy ... -5.171 eV/atom
! SG ... P4mm (99)
! Raw formation energy ... -255.1 meV per atom
&SYSTEM
  ibrav = 0, nat = 4, ntyp = 3
/
ATOMIC_SPECIES
Sr 87.62 Sr.upf
W 183.84 W.upf
Cl 35.45 Cl.upf
CELL_PARAMETERS angstrom
3.177 0.000 0.000
0.000 3.177 0.000
0.000 0.000 8.589
ATOMIC_POSITIONS crystal
Sr 0.000 0.000 0.000
W 0.500 0.500 0.302
Cl 0.000 0.000 0.446
Cl 0.500 0.500 0.796

***

# 11
! Sr2WCl GGA-PBEsol optimized geometry; values from VASP
! Uncorrected energy ... -4.611 eV/atom
! SG ... P4/mmm (123)
! Distance to the lowest polymorph of the same formula ... 0.00 eV per formula unit
! Raw formation energy ... 262.8 meV per atom
&SYSTEM
  ibrav = 0, nat = 4, ntyp = 3
/
ATOMIC_SPECIES
Sr 87.62 Sr.upf
W 183.84 W.upf
Cl 35.45 Cl.upf
CELL_PARAMETERS angstrom
5.666 0.000 0.000
0.000 5.666 0.000
0.000 0.000 3.130
ATOMIC_POSITIONS crystal
Sr 0.000 0.500 0.000
Sr 0.500 0.000 0.000
W 0.000 0.000 0.500
Cl 0.500 0.500 0.500

***

# 12
! SrWCl GGA-PBEsol optimized geometry; values from VASP
! Uncorrected energy ... -5.311 eV/atom
! SG ... I4mm (107)
! Distance to the lowest polymorph of the same formula ... 0.00 eV per formula unit
! Raw formation energy ... 574.5 meV per atom
&SYSTEM
  ibrav = 0, nat = 3, ntyp = 3
/
ATOMIC_SPECIES
Sr 87.62 Sr.upf
W 183.84 W.upf
Cl 35.45 Cl.upf
CELL_PARAMETERS angstrom
-1.522 1.522 6.571
1.522 -1.522 6.571
1.522 1.522 -6.571
ATOMIC_POSITIONS crystal
Sr 0.000 0.000 0.000
W 0.315 0.315 0.000
Cl 0.664 0.664 0.000